# Tb2PrNd6Ho (GGA-PBE, optimized geometry)
# Crystal system: monoclinic
# Formation enthalpy at 0 K in meV per atom: 113.0
# D(E_F) in states/eV per atom: 1.43
# Density in g/cm³: 7.147
# E in eV per atom: -4.609
data_Tb2PrNd6Ho
_space_group_name_H-M_alt 'C 1 2/c 1'
_space_group_IT_number 15
_cell_length_a 9.322
_cell_length_b 15.358
_cell_length_c 9.747
_cell_angle_alpha 90.00
_cell_angle_beta 97.34
_cell_angle_gamma 90.00
loop_
_space_group_symop_operation_xyz
'x,y,z'
'-x,-y,-z'
'-x,y,-z+1/2'
'x,-y,z+1/2'
'x+1/2,y+1/2,z'
'-x+1/2,-y+1/2,-z'
'-x+1/2,y+1/2,-z+1/2'
'x+1/2,-y+1/2,z+1/2'
loop_
_atom_site_label
_atom_site_type_symbol
_atom_site_fract_x
_atom_site_fract_y
_atom_site_fract_z
Tb1 Tb 0.249 0.049 0.453
Pr1 Pr 0.000 0.474 0.250
Nd1 Nd 0.063 0.319 0.945
Nd2 Nd 0.098 0.108 0.118
Nd3 Nd 0.213 0.277 0.314
Ho1 Ho 0.000 0.090 0.750